Sm2ErCu: optimized geometry, PBE-GGA.

DFT formation energy = 1.08 eV/f.u.
Distance to the lowest polymorph of the same formula = 0.325 eV per atom
Crystal system = trigonal
Magnetic moment = 0.00 μB per cell

CIF file:
```
data_Sm2ErCu
_chemical_formula_sum 'Sm2 Er1 Cu1'
_space_group_name_H-M_alt 'P 1'
_space_group_IT_number 1
_space_group_name_Hall 'P 1'
_cell_length_a 3.499
_cell_length_b 3.499
_cell_length_c 11.176
_cell_angle_alpha 80.99
_cell_angle_beta 80.99
_cell_angle_gamma 60.00
loop_
_atom_site_label
_atom_site_fract_x
_atom_site_fract_y
_atom_site_fract_z
Cu1 0.500 0.500 0.500
Sm1 0.103 0.103 0.691
Sm2 0.897 0.897 0.309
Er1 0.000 0.000 0.000
```

SmEr2Cu: optimized geometry, PBE-GGA.

DFT formation energy = -0.29 eV/f.u.
Distance to the lowest polymorph of the same formula = 0.039 eV per atom
Crystal system = monoclinic
Magnetic moment = 0.00 μB per cell

CIF file:
```
data_SmEr2Cu
_chemical_formula_sum 'Sm2 Er4 Cu2'
_space_group_name_H-M_alt 'P 1'
_space_group_IT_number 1
_space_group_name_Hall 'P 1'
_cell_length_a 4.907
_cell_length_b 6.321
_cell_length_c 7.480
_cell_angle_alpha 90.00
_cell_angle_beta 90.00
_cell_angle_gamma 112.90
loop_
_atom_site_label
_atom_site_fract_x
_atom_site_fract_y
_atom_site_fract_z
Sm1 0.953 0.907 0.250
Sm2 0.047 0.093 0.750
Er1 0.350 0.701 0.532
Er2 0.650 0.299 0.468
Er3 0.350 0.701 0.968
Er4 0.650 0.299 0.032
Cu1 0.798 0.597 0.750
Cu2 0.202 0.403 0.250
```

SmEr4Cu4: optimized geometry, PBE-GGA.

DFT formation energy = -0.35 eV/f.u.
Crystal system = tetragonal
Magnetic moment = 0.00 μB per cell

CIF file:
```
data_SmEr4Cu4
_chemical_formula_sum 'Sm2 Er8 Cu8'
_space_group_name_H-M_alt 'P 1'
_space_group_IT_number 1
_space_group_name_Hall 'P 1'
_cell_length_a 5.665
_cell_length_b 8.843
_cell_length_c 8.843
_cell_angle_alpha 90.00
_cell_angle_beta 90.00
_cell_angle_gamma 90.00
loop_
_atom_site_label
_atom_site_fract_x
_atom_site_fract_y
_atom_site_fract_z
Sm1 0.000 0.000 0.000
Sm2 0.500 0.500 0.500
Er1 0.401 0.325 0.909
Er2 0.901 0.591 0.825
Er3 0.401 0.675 0.091
Er4 0.099 0.175 0.591
Er5 0.599 0.909 0.675
Er6 0.099 0.825 0.409
Er7 0.901 0.409 0.175
Er8 0.599 0.091 0.325
Cu1 0.614 0.779 0.360
Cu2 0.614 0.221 0.640
Cu3 0.114 0.860 0.721
Cu4 0.886 0.279 0.860
Cu5 0.886 0.721 0.140
Cu6 0.386 0.360 0.221
Cu7 0.386 0.640 0.779
Cu8 0.114 0.140 0.279
```

SmEr3Cu4: optimized geometry, PBE-GGA.

DFT formation energy = -2.00 eV/f.u.
Crystal system = tetragonal
Magnetic moment = 0.00 μB per cell

CIF file:
```
data_SmEr3Cu4
_chemical_formula_sum 'Sm2 Er6 Cu8'
_space_group_name_H-M_alt 'P 1'
_space_group_IT_number 1
_space_group_name_Hall 'P 1'
_cell_length_a 4.906
_cell_length_b 6.906
_cell_length_c 9.806
_cell_angle_alpha 90.00
_cell_angle_beta 90.00
_cell_angle_gamma 90.00
loop_
_atom_site_label
_atom_site_fract_x
_atom_site_fract_y
_atom_site_fract_z
Cu1 0.500 0.760 0.000
Cu2 0.500 0.760 0.500
Cu3 0.500 0.240 0.000
Cu4 0.500 0.240 0.500
Cu5 0.000 0.760 0.750
Cu6 0.000 0.760 0.250
Cu7 0.000 0.240 0.250
Cu8 0.000 0.240 0.750
Sm1 0.000 0.500 0.000
Sm2 0.000 0.500 0.500
Er1 0.000 0.000 0.000
Er2 0.000 0.000 0.500
Er3 0.500 0.000 0.750
Er4 0.500 0.000 0.250
Er5 0.500 0.500 0.750
Er6 0.500 0.500 0.250
```

SmErCu: optimized geometry, PBE-GGA.

DFT formation energy = 0.21 eV/f.u.
Distance to the lowest polymorph of the same formula = 0.191 eV per atom
Crystal system = cubic
Magnetic moment = 0.00 μB per cell

CIF file:
```
data_SmErCu
_chemical_formula_sum 'Sm1 Er1 Cu1'
_space_group_name_H-M_alt 'P 1'
_space_group_IT_number 1
_space_group_name_Hall 'P 1'
_cell_length_a 4.872
_cell_length_b 4.872
_cell_length_c 4.872
_cell_angle_alpha 60.00
_cell_angle_beta 60.00
_cell_angle_gamma 60.00
loop_
_atom_site_label
_atom_site_fract_x
_atom_site_fract_y
_atom_site_fract_z
Cu1 0.250 0.250 0.250
Sm1 0.500 0.500 0.500
Er1 0.000 0.000 0.000
```

SmErCu10: optimized geometry, PBE-GGA.

DFT formation energy = -2.22 eV/f.u.
Crystal system = orthorhombic
Magnetic moment = 0.00 μB per cell

CIF file:
```
data_SmErCu10
_chemical_formula_sum 'Sm1 Er1 Cu10'
_space_group_name_H-M_alt 'P 1'
_space_group_IT_number 1
_space_group_name_Hall 'P 1'
_cell_length_a 4.104
_cell_length_b 5.045
_cell_length_c 8.671
_cell_angle_alpha 90.00
_cell_angle_beta 90.00
_cell_angle_gamma 90.00
loop_
_atom_site_label
_atom_site_fract_x
_atom_site_fract_y
_atom_site_fract_z
Sm1 0.000 0.000 0.000
Er1 0.000 0.500 0.500
Cu1 0.000 0.000 0.336
Cu2 0.000 0.500 0.830
Cu3 0.000 0.500 0.170
Cu4 0.000 0.000 0.664
Cu5 0.500 0.000 0.500
Cu6 0.500 0.500 0.000
Cu7 0.500 0.252 0.252
Cu8 0.500 0.748 0.748
Cu9 0.500 0.748 0.252
Cu10 0.500 0.252 0.748
```

Sm2Er2Cu: optimized geometry, PBE-GGA.

DFT formation energy = -0.40 eV/f.u.
Crystal system = tetragonal
Magnetic moment = 0.00 μB per cell

CIF file:
```
data_Sm2Er2Cu
_chemical_formula_sum 'Sm2 Er2 Cu1'
_space_group_name_H-M_alt 'P 1'
_space_group_IT_number 1
_space_group_name_Hall 'P 1'
_cell_length_a 3.505
_cell_length_b 3.505
_cell_length_c 11.585
_cell_angle_alpha 98.70
_cell_angle_beta 98.70
_cell_angle_gamma 90.00
loop_
_atom_site_label
_atom_site_fract_x
_atom_site_fract_y
_atom_site_fract_z
Sm1 0.808 0.808 0.616
Sm2 0.192 0.192 0.384
Er1 0.574 0.574 0.147
Er2 0.426 0.426 0.853
Cu1 0.000 0.000 0.000
```

Sm2Er5Cu4: optimized geometry, PBE-GGA.

DFT formation energy = 0.53 eV/f.u.
Crystal system = monoclinic
Magnetic moment = 0.00 μB per cell

CIF file:
```
data_Sm2Er5Cu4
_chemical_formula_sum 'Sm2 Er5 Cu4'
_space_group_name_H-M_alt 'P 1'
_space_group_IT_number 1
_space_group_name_Hall 'P 1'
_cell_length_a 3.611
_cell_length_b 6.891
_cell_length_c 11.692
_cell_angle_alpha 80.43
_cell_angle_beta 98.88
_cell_angle_gamma 90.00
loop_
_atom_site_label
_atom_site_fract_x
_atom_site_fract_y
_atom_site_fract_z
Sm1 0.791 0.645 0.582
Sm2 0.209 0.355 0.418
Er1 0.165 0.884 0.329
Er2 0.835 0.116 0.671
Er3 0.066 0.330 0.132
Er4 0.500 0.000 0.000
Er5 0.934 0.670 0.868
Cu1 0.628 0.597 0.256
Cu2 0.057 0.726 0.114
Cu3 0.372 0.403 0.744
Cu4 0.943 0.274 0.886
```

SmEr2Cu: optimized geometry, PBE-GGA.

DFT formation energy = 0.08 eV/f.u.
Distance to the lowest polymorph of the same formula = 0.131 eV per atom
Crystal system = trigonal
Magnetic moment = 0.00 μB per cell

CIF file:
```
data_SmEr2Cu
_chemical_formula_sum 'Sm1 Er2 Cu1'
_space_group_name_H-M_alt 'P 1'
_space_group_IT_number 1
_space_group_name_Hall 'P 1'
_cell_length_a 3.651
_cell_length_b 3.651
_cell_length_c 9.868
_cell_angle_alpha 79.34
_cell_angle_beta 79.34
_cell_angle_gamma 60.00
loop_
_atom_site_label
_atom_site_fract_x
_atom_site_fract_y
_atom_site_fract_z
Sm1 0.501 0.501 0.497
Er1 0.066 0.066 0.803
Er2 0.267 0.267 0.198
Cu1 0.666 0.666 0.002
```

Sm2ErCu6: optimized geometry, PBE-GGA.

DFT formation energy = -2.17 eV/f.u.
Crystal system = hexagonal
Magnetic moment = 0.00 μB per cell

CIF file:
```
data_Sm2ErCu6
_chemical_formula_sum 'Sm2 Er1 Cu6'
_space_group_name_H-M_alt 'P 1'
_space_group_IT_number 1
_space_group_name_Hall 'P 1'
_cell_length_a 3.625
_cell_length_b 7.358
_cell_length_c 7.358
_cell_angle_alpha 120.00
_cell_angle_beta 90.00
_cell_angle_gamma 90.00
loop_
_atom_site_label
_atom_site_fract_x
_atom_site_fract_y
_atom_site_fract_z
Sm1 0.000 0.333 0.667
Sm2 0.000 0.667 0.333
Er1 0.000 0.000 0.000
Cu1 0.500 0.331 0.331
Cu2 0.500 0.669 0.669
Cu3 0.500 0.000 0.669
Cu4 0.500 0.669 0.000
Cu5 0.500 0.331 0.000
Cu6 0.500 0.000 0.331
```

SmEr2Cu: optimized geometry, PBE-GGA.

DFT formation energy = -0.41 eV/f.u.
Distance to the lowest polymorph of the same formula = 0.008 eV per atom
Crystal system = orthorhombic
Magnetic moment = 0.00 μB per cell

CIF file:
```
data_SmEr2Cu
_chemical_formula_sum 'Sm4 Er8 Cu4'
_space_group_name_H-M_alt 'P 1'
_space_group_IT_number 1
_space_group_name_Hall 'P 1'
_cell_length_a 6.458
_cell_length_b 6.798
_cell_length_c 9.783
_cell_angle_alpha 90.00
_cell_angle_beta 90.00
_cell_angle_gamma 90.00
loop_
_atom_site_label
_atom_site_fract_x
_atom_site_fract_y
_atom_site_fract_z
Sm1 0.633 0.510 0.250
Sm2 0.867 0.010 0.250
Sm3 0.367 0.490 0.750
Sm4 0.133 0.990 0.750
Er1 0.181 0.683 0.058
Er2 0.319 0.183 0.442
Er3 0.819 0.317 0.558
Er4 0.681 0.817 0.942
Er5 0.819 0.317 0.942
Er6 0.681 0.817 0.558
Er7 0.181 0.683 0.442
Er8 0.319 0.183 0.058
Cu1 0.066 0.396 0.250
Cu2 0.434 0.896 0.250
Cu3 0.934 0.604 0.750
Cu4 0.566 0.104 0.750
```

SmErCu3: optimized geometry, PBE-GGA.

DFT formation energy = -1.21 eV/f.u.
Crystal system = orthorhombic
Magnetic moment = 0.00 μB per cell

CIF file:
```
data_SmErCu3
_chemical_formula_sum 'Sm2 Er2 Cu6'
_space_group_name_H-M_alt 'P 1'
_space_group_IT_number 1
_space_group_name_Hall 'P 1'
_cell_length_a 3.686
_cell_length_b 4.299
_cell_length_c 12.801
_cell_angle_alpha 90.00
_cell_angle_beta 98.28
_cell_angle_gamma 90.00
loop_
_atom_site_label
_atom_site_fract_x
_atom_site_fract_y
_atom_site_fract_z
Sm1 0.928 0.750 0.855
Sm2 0.072 0.250 0.145
Er1 0.205 0.750 0.410
Er2 0.795 0.250 0.590
Cu1 0.620 0.750 0.240
Cu2 0.380 0.250 0.760
Cu3 0.524 0.750 0.047
Cu4 0.476 0.250 0.953
Cu5 0.674 0.250 0.349
Cu6 0.326 0.750 0.651
```